[1]
VASP calculation (PBE) on a relaxed SmTm2Mg8 crystal.

Calculated values
**SG**: C2/m
**Calculated formation energy**: -32 kJ/mol of formula units

Geometry as POSCAR:
```
SmTm2Mg8
1.0
4.808 0.000 -1.463
-1.239 5.959 -4.070
0.199 0.489 9.285
Sm Tm Mg
1 2 8
Cartesian
2.404 0.000 -0.732
0.156 5.038 0.513
3.612 1.411 3.239
1.992 4.326 -2.085
0.999 3.514 3.282
0.585 0.874 1.921
-0.267 2.057 -0.878
3.184 5.574 1.831
2.770 2.934 0.470
1.776 2.122 5.837
4.036 4.391 4.630
```

---

[2]
VASP calculation (PBE) on a relaxed Zn5Br12Cl3 crystal.

Calculated values
**SG**: Ia-3d
**Energy relative to the elements, uncorrected**: -346 meV per atom

Geometry as POSCAR:
```
Zn5Br12Cl3
1.0
14.570 0.000 0.000
-4.857 13.737 0.000
-4.857 -6.869 11.897
Cl Zn Br
12 20 48
Cartesian
8.499 4.293 1.487
8.499 9.444 1.487
-1.214 6.010 7.435
1.214 -0.859 4.461
10.928 0.000 2.974
1.214 6.869 2.974
3.643 0.000 8.923
-6.071 6.869 8.923
3.643 7.727 7.435
6.071 0.859 4.461
-3.643 -2.576 10.410
-3.643 2.576 10.410
-1.214 3.434 2.974
-2.428 6.869 0.000
0.000 0.000 0.000
3.643 2.576 1.487
4.857 -3.434 5.948
4.857 6.869 0.000
-3.643 7.727 4.461
6.071 -4.293 10.410
6.071 6.010 4.461
1.214 -3.434 8.923
3.643 10.303 2.974
2.428 3.434 5.948
7.285 0.000 0.000
-2.428 -3.434 5.948
-1.214 0.859 7.435
-1.214 11.161 1.487
-4.857 3.434 5.948
8.499 -0.859 7.435
1.214 4.293 10.410
6.071 3.434 8.923
9.439 1.548 0.170
0.274 4.356 4.693
11.023 3.110 3.657
5.976 1.822 1.426
1.687 4.855 8.069
10.555 7.094 2.121
-1.309 8.157 5.084
-3.548 11.915 1.426
0.742 8.882 8.069
6.444 6.643 2.121
7.560 4.061 4.522
7.560 12.189 0.170
-4.115 5.981 6.119
3.270 4.919 0.865
-5.131 9.676 4.522
2.703 -2.513 7.204
-0.742 1.126 2.291
3.270 8.592 1.256
5.976 10.627 3.657
-0.841 5.145 1.256
-3.170 7.995 9.606
3.737 5.580 5.084
6.543 7.756 6.119
5.698 -1.949 11.032
1.119 1.288 6.813
-1.687 -0.887 5.778
-0.841 8.818 0.865
-1.119 -3.758 8.239
8.027 -1.126 2.291
5.698 1.724 10.641
1.587 -1.724 10.641
2.154 9.381 4.693
5.599 5.742 9.606
9.988 -2.808 7.374
8.972 0.887 5.778
-2.703 -5.320 11.727
1.587 1.949 11.032
4.115 -2.013 3.828
-1.587 0.226 9.776
-2.703 2.808 7.374
8.405 -5.047 10.471
6.166 -1.288 6.813
-1.119 5.047 10.471
-5.698 -0.226 9.776
3.170 2.013 3.828
-6.166 3.758 8.239
4.583 2.513 7.204
-4.583 5.320 11.727
```

---

[3]
VASP calculation (PBE) on a relaxed MgZrZn10 crystal.

Calculated values
**SG**: Pmmm
**Calculated formation energy**: -104 kJ/mol of formula units

Geometry as POSCAR:
```
MgZrZn10
1.0
-1.021 2.468 3.270
-2.663 -3.866 2.087
7.370 -2.724 4.357
Mg Zr Zn
1 1 10
Cartesian
2.353 -3.295 3.222
0.000 0.000 0.000
2.488 -0.920 1.471
4.771 -4.188 4.651
-0.064 -2.401 1.793
4.882 -1.804 2.886
3.174 -0.128 3.814
-1.842 -0.699 2.678
0.604 -0.352 3.180
3.081 -3.770 6.534
-0.769 -2.346 4.257
4.455 -1.775 5.457
```

---

[4]
VASP calculation (PBE) on a relaxed PrSm6Er12 crystal.

Calculated values
**E above lowest polymorph**: 0.0 meV per atom
**SG**: R-3
**Calculated formation energy**: 37 kJ/mol of formula units

Geometry as POSCAR:
```
PrSm6Er12
1.0
8.289 0.000 2.657
-4.128 7.745 3.373
0.033 0.000 9.402
Pr Sm Er
1 6 12
Cartesian
0.000 0.000 0.000
1.539 3.684 4.693
-2.364 5.305 7.383
-0.184 6.125 10.087
2.654 4.061 10.740
6.557 2.440 8.049
4.377 1.621 5.345
0.891 6.521 6.710
2.001 6.932 12.752
5.481 2.038 11.399
3.303 1.225 8.723
2.193 0.813 2.681
-1.288 5.708 4.034
0.464 3.260 8.054
-0.645 2.856 2.014
1.111 0.404 6.041
3.729 4.486 7.378
4.838 4.890 13.418
3.082 7.342 9.392
```

---

[5]
VASP calculation (PBE) on a relaxed LiCa2Lu crystal.

Calculated values
**E above lowest polymorph**: 0.0 meV per atom
**SG**: P4/mmm
**Calculated formation energy**: 48 kJ/mol of formula units

Geometry as POSCAR:
```
LiCa2Lu
1.0
4.028 0.000 0.000
0.000 4.028 0.000
0.000 0.000 8.050
Ca Lu Li
2 1 1
Cartesian
0.000 0.000 6.147
0.000 0.000 1.903
2.014 2.014 4.025
2.014 2.014 0.000
```

---

[6]
VASP calculation (PBE) on a relaxed MgSc2Cl crystal.

Calculated values
**E above lowest polymorph**: 37.5 meV per atom
**SG**: R-3m
**Energy relative to the elements, uncorrected**: -571 meV per atom

Geometry as POSCAR:
```
MgSc2Cl
1.0
-6.423 5.508 3.203
-8.294 3.288 1.502
-7.314 2.603 4.646
Cl Mg Sc
1 1 2
Cartesian
-16.523 8.549 7.013
-5.508 2.850 2.338
-0.172 0.089 0.073
-10.844 5.611 4.603
```

---

| no. | M_tot (μB/f.u.) |
| --- | --- |
| 1 | 0.00 |
| 2 | 5.16 |
| 3 | 0.00 |
| 4 | 0.00 |
| 5 | 0.00 |
| 6 | 0.00 |